MgSn2Pt2 GGA-PBE relaxed; polymorph energy (0 for the lowest one) = 0.3901 eV per atom; SG = P4/mbm, No. 127; formation enthalpy at 0 K = -0.23 eV per atom; crystal system = tetragonal
1.0
7.961 0.000 0.000
0.000 7.961 0.000
0.000 0.000 3.221
Mg Sn Pt
2 4 4
Direct
0.000 0.000 0.000
0.500 0.500 0.000
0.140 0.360 0.000
0.360 0.860 0.000
0.640 0.140 0.000
0.860 0.640 0.000
0.159 0.659 0.500
0.341 0.159 0.500
0.659 0.841 0.500
0.841 0.341 0.500

***

Mg5SnPt6 GGA-PBE relaxed; SG = Cmmm, No. 65; formation enthalpy at 0 K = -0.81 eV per atom; crystal system = orthorhombic
1.0
2.106 -6.329 0.000
2.106 6.329 0.000
0.000 0.000 7.329
Mg Sn Pt
5 1 6
Direct
0.000 0.000 0.000
0.330 0.670 0.500
0.334 0.666 0.000
0.666 0.334 0.000
0.670 0.330 0.500
0.000 0.000 0.500
0.168 0.832 0.248
0.168 0.832 0.752
0.500 0.500 0.249
0.500 0.500 0.751
0.832 0.168 0.248
0.832 0.168 0.752

***

SrMg2SnPt GGA-PBE relaxed; SG = P4/mmm, No. 123; formation enthalpy at 0 K = -0.45 eV per atom; crystal system = tetragonal
1.0
5.093 0.000 0.000
0.000 5.093 0.000
0.000 0.000 5.239
Sr Mg Sn Pt
1 2 1 1
Direct
0.000 0.000 0.000
0.000 0.500 0.500
0.500 0.000 0.500
0.500 0.500 0.000
0.500 0.500 0.500

***

TbMgSnPt GGA-PBE relaxed; SG = F-43m, No. 216; formation enthalpy at 0 K = -0.69 eV per atom; crystal system = cubic
1.0
0.000 3.505 3.505
3.505 0.000 3.505
3.505 3.505 0.000
Tb Mg Sn Pt
1 1 1 1
Direct
0.000 0.000 0.000
0.500 0.500 0.500
0.750 0.750 0.750
0.250 0.250 0.250

***

ThMgSnPt3 GGA-PBE relaxed; SG = Cmcm, No. 63; formation enthalpy at 0 K = -0.59 eV per atom; crystal system = orthorhombic
1.0
2.859 -8.769 0.000
2.859 8.769 0.000
0.000 0.000 5.702
Th Mg Sn Pt
2 2 2 6
Direct
0.227 0.773 0.750
0.773 0.227 0.250
0.400 0.600 0.250
0.600 0.400 0.750
0.096 0.904 0.250
0.904 0.096 0.750
0.250 0.750 0.250
0.260 0.260 0.000
0.260 0.260 0.500
0.740 0.740 0.000
0.740 0.740 0.500
0.750 0.250 0.750

***

Mg2TlSnPt GGA-PBE relaxed; SG = P4/mmm, No. 123; formation enthalpy at 0 K = -0.28 eV per atom; crystal system = tetragonal
1.0
5.125 0.000 0.000
0.000 5.125 0.000
0.000 0.000 5.081
Mg Tl Sn Pt
2 1 1 1
Direct
0.000 0.500 0.000
0.500 0.000 0.000
0.000 0.000 0.500
0.500 0.500 0.500
0.500 0.500 0.000

***

The highest formation enthalpy at 0 K belongs to which entry?
MgSn2Pt2